Computed, not measured: a relaxed LaTh3O crystal at the GGA-PBE level of DFT.

Values from the calculation:
energy relative to the elements, uncorrected = -1.051 eV per atom
crystal system = cubic
final energy = -7.48 eV/atom

Lattice parameters (Å, degrees): 5.1052 5.1052 5.1052 90.00 90.00 90.00
With the nearest neighbours (Å) after each atom.
Element x y z (fractional)
La  0.0000  0.0000  0.0000  12 Th 3.61
Th  0.0000  0.5000  0.5000  2 O 2.55
Th  0.5000  0.0000  0.5000  2 O 2.55
Th  0.5000  0.5000  0.0000  2 O 2.55
O  0.5000  0.5000  0.5000  6 Th 2.55

***

Computed, not measured: a relaxed LaTh2O crystal at the GGA-PBE level of DFT.

Values from the calculation:
energy relative to the elements, uncorrected = -0.973 eV per atom
crystal system = trigonal
final energy = -7.15 eV/atom

Lattice parameters (Å, degrees): 10.0463 10.0463 10.0463 20.60 20.60 20.60
With the nearest neighbours (Å) after each atom.
Element x y z (fractional)
La  0.0000  0.0000  0.0000  2 Th 3.46, 6 La 3.59
Th  0.1173  0.1173  0.1173  3 O 2.53
Th  0.8827  0.8827  0.8827  3 O 2.53
O  0.5000  0.5000  0.5000  6 Th 2.53

***

Computed, not measured: a relaxed LaThO crystal at the GGA-PBE level of DFT.

Values from the calculation:
energy relative to the elements, uncorrected = -1.625 eV per atom
crystal system = monoclinic
final energy = -7.39 eV/atom

Lattice parameters (Å, degrees): 6.3928 6.3928 6.5301 99.25 99.25 34.05
With the nearest neighbours (Å) after each atom.
Element x y z (fractional)
La  0.1349  0.1349  0.3763  3 O 2.62-2.64
La  0.8651  0.8651  0.6237  3 O 2.62-2.64
Th  0.3647  0.3647  0.1167  3 O 2.50-2.55
Th  0.6353  0.6353  0.8833  3 O 2.50-2.55
O  0.2430  0.2430  0.7591  3 Th 2.50-2.55, 3 La 2.62-2.64
O  0.7570  0.7570  0.2409  3 Th 2.50-2.55, 3 La 2.62-2.64

***

Computed, not measured: a relaxed La2Th3O9 crystal at the GGA-PBE level of DFT.

Values from the calculation:
energy relative to the elements, uncorrected = -3.701 eV per atom
crystal system = tetragonal
final energy = -9.18 eV/atom

Lattice parameters (Å, degrees): 14.5185 14.5185 14.5185 164.20 164.20 22.41
With the nearest neighbours (Å) after each atom.
Element x y z (fractional)
La  0.1934  0.1934  0.0000  6 O 2.31-2.56
La  0.8066  0.8066  0.0000  6 O 2.31-2.56
Th  0.0000  0.0000  0.0000  8 O 2.39-2.49
Th  0.4015  0.4015  0.0000  8 O 2.37-2.52
Th  0.5985  0.5985  0.0000  8 O 2.37-2.52
O  0.0523  0.5523  0.5000  4 Th 2.39-2.49
O  0.1527  0.6527  0.5000  2 La 2.31, 2 Th 2.52
O  0.3473  0.8473  0.5000  2 La 2.31, 2 Th 2.52
O  0.4477  0.9477  0.5000  4 Th 2.39-2.49
O  0.5463  0.0463  0.5000  4 Th 2.39-2.49
O  0.6433  0.1433  0.5000  2 Th 2.37, 2 La 2.45
O  0.7500  0.2500  0.5000  4 La 2.56
O  0.8567  0.3567  0.5000  2 Th 2.37, 2 La 2.45
O  0.9537  0.4537  0.5000  4 Th 2.39-2.49

***

Computed, not measured: a relaxed La2Ti3O8 crystal at the GGA-PBE level of DFT.

Values from the calculation:
energy relative to the elements, uncorrected = -3.057 eV per atom
crystal system = tetragonal
final energy = -8.69 eV/atom

Lattice parameters (Å, degrees): 3.9207 3.9207 11.0684 90.00 90.00 90.00
With the nearest neighbours (Å) after each atom.
Element x y z (fractional)
La  0.0000  0.0000  0.1953  8 O 2.56-2.78
La  0.0000  0.0000  0.8047  8 O 2.56-2.78
Ti  0.5000  0.5000  0.0000  6 O 1.95-1.96
Ti  0.5000  0.5000  0.3615  5 O 1.97-2.05
Ti  0.5000  0.5000  0.6385  5 O 1.97-2.05
O  0.0000  0.5000  0.0000  2 Ti 1.96
O  0.0000  0.5000  0.3445  2 Ti 1.97
O  0.0000  0.5000  0.6555  2 Ti 1.97
O  0.5000  0.0000  0.0000  2 Ti 1.96
O  0.5000  0.0000  0.3445  2 Ti 1.97
O  0.5000  0.0000  0.6555  2 Ti 1.97
O  0.5000  0.5000  0.1762  2 Ti 1.95-2.05
O  0.5000  0.5000  0.8238  2 Ti 1.95-2.05

***

Computed, not measured: a relaxed LaTiO3 crystal at the GGA-PBE level of DFT.

Values from the calculation:
energy relative to the elements, uncorrected = -3.175 eV per atom
crystal system = cubic
final energy = -8.71 eV/atom

Lattice parameters (Å, degrees): 3.9256 3.9256 3.9256 90.00 90.00 90.00
With the nearest neighbours (Å) after each atom.
Element x y z (fractional)
La  0.0000  0.0000  0.0000  12 O 2.78
Ti  0.5000  0.5000  0.5000  6 O 1.96
O  0.0000  0.5000  0.5000  2 Ti 1.96
O  0.5000  0.0000  0.5000  2 Ti 1.96
O  0.5000  0.5000  0.0000  2 Ti 1.96

***

Computed, not measured: a relaxed LaTi3O8 crystal at the GGA-PBE level of DFT.

Values from the calculation:
energy relative to the elements, uncorrected = -2.832 eV per atom
crystal system = trigonal
final energy = -8.52 eV/atom

Lattice parameters (Å, degrees): 5.7055 5.7055 6.5323 90.00 90.00 120.00
With the nearest neighbours (Å) after each atom.
Element x y z (fractional)
La  0.0000  0.0000  0.0000  6 O 2.52
Ti  0.0000  0.0000  0.5000  6 O 1.95
Ti  0.3333  0.6667  0.7629  4 O 1.75-1.85
Ti  0.6667  0.3333  0.2371  4 O 1.75-1.85
O  0.1525  0.3049  0.6906  2 Ti 1.85-1.95
O  0.1525  0.8475  0.6906  2 Ti 1.85-1.95
O  0.3049  0.1525  0.3094  2 Ti 1.85-1.95
O  0.3333  0.6667  0.0309  1 Ti 1.75
O  0.6667  0.3333  0.9691  1 Ti 1.75
O  0.6951  0.8475  0.6906  2 Ti 1.85-1.95
O  0.8475  0.1525  0.3094  2 Ti 1.85-1.95
O  0.8475  0.6951  0.3094  2 Ti 1.85-1.95

***

Computed, not measured: a relaxed La3Ti2O7 crystal at the GGA-PBE level of DFT.

Values from the calculation:
energy relative to the elements, uncorrected = -3.123 eV per atom
crystal system = tetragonal
final energy = -8.56 eV/atom

Lattice parameters (Å, degrees): 10.6015 10.6015 10.6015 158.47 158.47 30.63
With the nearest neighbours (Å) after each atom.
Element x y z (fractional)
La  0.0000  0.0000  0.0000  12 O 2.80-2.81
La  0.1836  0.1836  0.0000  1 O 2.33
La  0.8164  0.8164  0.0000  1 O 2.33
Ti  0.4037  0.4037  0.0000  6 O 1.97-2.17
Ti  0.5963  0.5963  0.0000  6 O 1.97-2.17
O  0.0978  0.5978  0.5000  2 Ti 1.98
O  0.2976  0.2976  0.0000  1 Ti 2.17, 1 La 2.33
O  0.4022  0.9022  0.5000  2 Ti 1.98
O  0.5000  0.5000  0.0000  2 Ti 1.97
O  0.5978  0.0978  0.5000  2 Ti 1.98
O  0.7024  0.7024  0.0000  1 Ti 2.17, 1 La 2.33
O  0.9022  0.4022  0.5000  2 Ti 1.98

***

Computed, not measured: a relaxed LaTi2O6 crystal at the GGA-PBE level of DFT.

Values from the calculation:
energy relative to the elements, uncorrected = -2.889 eV per atom
crystal system = tetragonal
final energy = -8.50 eV/atom

Lattice parameters (Å, degrees): 5.5054 5.5054 5.5054 120.35 120.35 89.39
With the nearest neighbours (Å) after each atom.
Element x y z (fractional)
La  0.0000  0.0000  0.0000  8 O 2.53-2.74
Ti  0.2500  0.7500  0.5000  6 O 1.95-1.96
Ti  0.7500  0.2500  0.5000  6 O 1.95-1.96
O  0.0000  0.5000  0.5000  2 Ti 1.96
O  0.0224  0.4581  0.0000  2 Ti 1.95
O  0.4581  0.0224  0.0000  2 Ti 1.95
O  0.5000  0.0000  0.5000  2 Ti 1.96
O  0.5419  0.5419  0.5644  2 Ti 1.95
O  0.9776  0.9776  0.4356  2 Ti 1.95

***

Asked for DOS at the Fermi energy across the records above, the calculation gives 7.9, 6.6, 4.3, 0.0, 4.3, 2.0, 8.6, 5.5, 2.9 states/eV/f.u. in order.